[1]
KNi5As3: optimized geometry, PBE.

Energy relative to the elements: -0.342 eV per atom
Calculated total energy: -5.2260 eV/atom
Volume: 15.47 Å³ per atom

The structure in CIF format:
```
data_KNi5As3
_chemical_formula_sum 'K4 Ni20 As12'
_cell_length_a 3.728
_cell_length_b 12.375
_cell_length_c 12.069
_cell_angle_alpha 90.00
_cell_angle_beta 90.00
_cell_angle_gamma 90.00
_symmetry_space_group_name_H-M 'C m c m'
_symmetry_Int_Tables_number 63
_symmetry_space_group_name_Hall '-C 2c 2'
loop_
_atom_site_label
_atom_site_type_symbol
_atom_site_fract_x
_atom_site_fract_y
_atom_site_fract_z
_atom_site_occupancy
K1 K 0.000 0.164 0.250 1
Ni1 Ni 0.000 0.000 0.000 1
Ni2 Ni 0.000 0.193 0.563 1
Ni3 Ni 0.000 0.448 0.143 1
As1 As 0.000 0.113 0.750 1
As2 As 0.000 0.380 0.542 1
```

=====

[2]
Sc6OsRu5: optimized geometry, PBE.

Energy relative to the elements: -0.500 eV per atom
Calculated total energy: -8.4662 eV/atom
Volume: 16.58 Å³ per atom

The structure in CIF format:
```
data_Sc6OsRu5
_chemical_formula_sum 'Sc12 Os2 Ru10'
_cell_length_a 4.547
_cell_length_b 6.452
_cell_length_c 13.567
_cell_angle_alpha 90.00
_cell_angle_beta 90.00
_cell_angle_gamma 90.00
_symmetry_space_group_name_H-M 'I m m m'
_symmetry_Int_Tables_number 71
_symmetry_space_group_name_Hall '-I 2 2'
loop_
_atom_site_label
_atom_site_type_symbol
_atom_site_fract_x
_atom_site_fract_y
_atom_site_fract_z
_atom_site_occupancy
Sc1 Sc 0.000 0.250 0.000 1
Sc2 Sc 0.000 0.250 0.333 1
Os1 Os 0.000 0.000 0.500 1
Ru1 Ru 0.000 0.000 0.167 1
Ru2 Ru 0.000 0.500 0.166 1
Ru3 Ru 0.000 0.500 0.500 1
```